## Cs2MgHgI6 (PBE)

Data for a relaxed Cs2MgHgI6 crystal.

Structure (POSCAR):
```
Cs2MgHgI6
1.0
7.9380 0.0000 0.0000
1.0146 7.9040 0.0000
1.4616 1.2709 8.3305
Cs Mg Hg I
2 1 1 6
Direct
0.0000 0.0000 0.0000
0.3412 0.6445 0.5063
0.7072 0.5099 0.0085
0.8651 0.3838 0.5030
0.0532 0.5216 0.9383
0.1603 0.1619 0.5320
0.5052 0.8046 0.0439
0.6093 0.3156 0.8022
0.6582 0.2710 0.2924
0.8524 0.7396 0.4471
```

As for the uncorrected formation energy: -1.035 eV per atom. Its space-group type is P1 (1). As for the energy: -2.325 eV/atom.